Computed, not measured: an optimized crystal structure of NdYGa2Ir2 at the GGA-PBE level of DFT.

SG: No. 164
Magnetization, μB/atom: 0.000
Calculated total energy, eV/cell: -39.6
Theoretical density, g cm⁻³: 10.2
Crystal system: trigonal
ΔH_f (0 K), eV per atom: -0.759

Lattice parameters (Å, degrees): 4.4067 4.4067 7.3550 90.00 90.00 120.00
Last column: nearest neighbours and their distance in Å.
Sites, in units of the cell vectors:
Nd  0.0000  0.0000  0.0000  6 Ir 3.20, 6 Ga 3.21
Y  0.0000  0.0000  0.5000  6 Ga 3.07, 6 Ir 3.08
Ga  0.3333  0.6667  0.2672  3 Ir 2.54
Ga  0.6667  0.3333  0.7328  3 Ir 2.54
Ir  0.3333  0.6667  0.7351  3 Ga 2.54
Ir  0.6667  0.3333  0.2649  3 Ga 2.54


Computed, not measured: an optimized crystal structure of Nd2ZnGa3Ir4 at the GGA-PBE level of DFT.

SG: No. 115
Magnetization, μB/atom: 0.000
Calculated total energy, eV/cell: -61.9
Theoretical density, g cm⁻³: 11.7
Crystal system: tetragonal
ΔH_f (0 K), eV per atom: -0.653

Lattice parameters (Å, degrees): 4.2637 4.2637 10.3663 90.00 90.00 90.00
Last column: nearest neighbours and their distance in Å.
Sites, in units of the cell vectors:
Nd  0.0000  0.5000  0.2418  6 Ga 3.24-3.42, 8 Ir 3.28-3.29, 2 Zn 3.42
Nd  0.5000  0.0000  0.7582  6 Ga 3.24-3.42, 8 Ir 3.28-3.29, 2 Zn 3.42
Zn  0.0000  0.0000  0.5000  4 Ir 2.55
Ga  0.0000  0.5000  0.8738  5 Ir 2.48-2.50
Ga  0.5000  0.0000  0.1262  5 Ir 2.48-2.50
Ga  0.5000  0.5000  0.5000  4 Ir 2.55
Ir  0.0000  0.0000  0.0000  4 Ga 2.50
Ir  0.0000  0.5000  0.6348  3 Ga 2.48-2.55, 2 Zn 2.55
Ir  0.5000  0.0000  0.3652  3 Ga 2.48-2.55, 2 Zn 2.55
Ir  0.5000  0.5000  0.0000  4 Ga 2.50


Computed, not measured: an optimized crystal structure of Nd2ZnGa4Ir3 at the GGA-PBE level of DFT.

SG: No. 115
Magnetization, μB/atom: 0.000
Calculated total energy, eV/cell: -55.7
Theoretical density, g cm⁻³: 10.6
Crystal system: tetragonal
ΔH_f (0 K), eV per atom: -0.616

Lattice parameters (Å, degrees): 4.1702 4.1702 10.9405 90.00 90.00 90.00
Last column: nearest neighbours and their distance in Å.
Sites, in units of the cell vectors:
Nd  0.0000  0.5000  0.2444  6 Ir 3.19-3.49, 8 Ga 3.23-3.39, 2 Zn 3.49
Nd  0.5000  0.0000  0.7556  6 Ir 3.19-3.49, 8 Ga 3.23-3.39, 2 Zn 3.49
Zn  0.0000  0.0000  0.5000  4 Ga 2.55
Ga  0.0000  0.0000  0.0000  4 Ir 2.55
Ga  0.0000  0.5000  0.6349  3 Ir 2.53-2.55, 2 Zn 2.55
Ga  0.5000  0.0000  0.3651  3 Ir 2.53-2.55, 2 Zn 2.55
Ga  0.5000  0.5000  0.0000  4 Ir 2.55
Ir  0.0000  0.5000  0.8660  5 Ga 2.53-2.55
Ir  0.5000  0.0000  0.1340  5 Ga 2.53-2.55
Ir  0.5000  0.5000  0.5000  4 Ga 2.55


Computed, not measured: an optimized crystal structure of NdZn2GaIr2 at the GGA-PBE level of DFT.

SG: No. 123
Magnetization, μB/atom: 0.001
Calculated total energy, eV/cell: -28.4
Theoretical density, g cm⁻³: 10.1
Crystal system: tetragonal
ΔH_f (0 K), eV per atom: -0.064

Lattice parameters (Å, degrees): 4.5964 4.5964 5.6894 90.00 90.00 90.00
Last column: nearest neighbours and their distance in Å.
Sites, in units of the cell vectors:
Nd  0.0000  0.0000  0.0000  2 Ga 2.84
Zn  0.5000  0.5000  0.2362  2 Zn 2.69-3.00, 4 Ir 2.75
Zn  0.5000  0.5000  0.7638  2 Zn 2.69-3.00, 4 Ir 2.75
Ga  0.0000  0.0000  0.5000  4 Ir 2.30
Ir  0.0000  0.5000  0.5000  2 Ga 2.30
Ir  0.5000  0.0000  0.5000  2 Ga 2.30


Computed, not measured: an optimized crystal structure of NdZnGa3Ir at the GGA-PBE level of DFT.

SG: No. 63
Magnetization, μB/atom: 0.000
Calculated total energy, eV/cell: -50.8
Theoretical density, g cm⁻³: 8.3
Crystal system: orthorhombic
ΔH_f (0 K), eV per atom: -0.237

Lattice parameters (Å, degrees): 6.7355 6.7355 6.3514 90.00 90.00 122.44
Last column: nearest neighbours and their distance in Å.
Sites, in units of the cell vectors:
Nd  0.2154  0.7846  0.7500  1 Zn 2.91
Nd  0.7846  0.2154  0.2500  1 Zn 2.91
Zn  0.4619  0.5381  0.7500  5 Ga 2.49-2.53
Zn  0.5381  0.4619  0.2500  5 Ga 2.49-2.53
Ga  0.2050  0.2050  0.0000  2 Zn 2.53, 2 Ir 2.53, 1 Ga 2.66
Ga  0.2050  0.2050  0.5000  2 Zn 2.53, 2 Ir 2.53, 1 Ga 2.66
Ga  0.3272  0.6728  0.2500  1 Ir 2.41, 1 Zn 2.49
Ga  0.6728  0.3272  0.7500  1 Ir 2.41, 1 Zn 2.49
Ga  0.7950  0.7950  0.0000  2 Zn 2.53, 2 Ir 2.53, 1 Ga 2.66
Ga  0.7950  0.7950  0.5000  2 Zn 2.53, 2 Ir 2.53, 1 Ga 2.66
Ir  0.1229  0.8771  0.2500  5 Ga 2.41-2.53
Ir  0.8771  0.1229  0.7500  5 Ga 2.41-2.53


Computed, not measured: an optimized crystal structure of NdZnGaIr at the GGA-PBE level of DFT.

SG: No. 160
Magnetization, μB/atom: 0.000
Calculated total energy, eV/cell: -20.1
Theoretical density, g cm⁻³: 9.4
Crystal system: trigonal
ΔH_f (0 K), eV per atom: -0.535

Lattice parameters (Å, degrees): 5.5999 5.5999 5.5999 46.09 46.09 46.09
Last column: nearest neighbours and their distance in Å.
Sites, in units of the cell vectors:
Nd  0.0000  0.0000  0.0000  4 Ir 2.95-3.25, 4 Zn 3.06-3.19, 3 Ga 3.17
Zn  0.2043  0.2043  0.2043  3 Ir 2.73, 3 Ga 2.78
Ga  0.4608  0.4608  0.4608  3 Ir 2.53, 3 Zn 2.78
Ir  0.8030  0.8030  0.8030  3 Ga 2.53, 3 Zn 2.73


Computed, not measured: an optimized crystal structure of Nd2ZrGa3Ir4 at the GGA-PBE level of DFT.

SG: No. 115
Magnetization, μB/atom: 0.000
Calculated total energy, eV/cell: -69.9
Theoretical density, g cm⁻³: 11.4
Crystal system: tetragonal
ΔH_f (0 K), eV per atom: -0.733

Lattice parameters (Å, degrees): 4.2308 4.2308 11.0244 90.00 90.00 90.00
Last column: nearest neighbours and their distance in Å.
Sites, in units of the cell vectors:
Nd  0.0000  0.5000  0.2262  4 Ga 3.20, 8 Ir 3.27-3.30
Nd  0.5000  0.0000  0.7738  4 Ga 3.20, 8 Ir 3.27-3.30
Zr  0.0000  0.0000  0.5000  4 Ir 2.67
Ga  0.0000  0.5000  0.8779  5 Ir 2.51-2.54
Ga  0.5000  0.0000  0.1221  5 Ir 2.51-2.54
Ga  0.5000  0.5000  0.5000  4 Ir 2.67
Ir  0.0000  0.0000  0.0000  4 Ga 2.51
Ir  0.0000  0.5000  0.6479  3 Ga 2.54-2.67, 2 Zr 2.67
Ir  0.5000  0.0000  0.3521  3 Ga 2.54-2.67, 2 Zr 2.67
Ir  0.5000  0.5000  0.0000  4 Ga 2.51


Computed, not measured: an optimized crystal structure of GaNi4Ir2 at the GGA-PBE level of DFT.

SG: No. 139
Magnetization, μB/atom: 0.000
Calculated total energy, eV/cell: -37.7
Theoretical density, g cm⁻³: 10.4
Crystal system: tetragonal
ΔH_f (0 K), eV per atom: 0.887

Lattice parameters (Å, degrees): 6.6961 6.6961 6.6961 142.63 142.63 53.87
Last column: nearest neighbours and their distance in Å.
Sites, in units of the cell vectors:
Ga  0.0000  0.0000  0.0000  6 Ni 2.14-2.31
Ni  0.0000  0.5000  0.5000  2 Ga 2.14
Ni  0.1937  0.1937  0.0000  1 Ga 2.31, 1 Ir 2.32
Ni  0.5000  0.0000  0.5000  2 Ga 2.14
Ni  0.8063  0.8063  0.0000  1 Ga 2.31, 1 Ir 2.32
Ir  0.3884  0.3884  0.0000  5 Ni 2.32-2.53
Ir  0.6116  0.6116  0.0000  5 Ni 2.32-2.53


Computed, not measured: an optimized crystal structure of GaNi4Ir at the GGA-PBE level of DFT.

SG: No. 62
Magnetization, μB/atom: 0.174
Calculated total energy, eV/cell: -144.0
Energy above the lowest structure with this stoichiometry, eV per atom: 0.000
Theoretical density, g cm⁻³: 11.5
Crystal system: orthorhombic
ΔH_f (0 K), eV per atom: -0.165

Lattice parameters (Å, degrees): 10.2221 3.6742 7.6674 90.00 90.00 90.00
Last column: nearest neighbours and their distance in Å.
Sites, in units of the cell vectors:
Ga  0.1827  0.2500  0.0824  11 Ni 2.50-2.63, 1 Ir 2.58
Ga  0.3173  0.7500  0.5824  11 Ni 2.50-2.63, 1 Ir 2.58
Ga  0.6827  0.2500  0.4176  11 Ni 2.50-2.63, 1 Ir 2.58
Ga  0.8173  0.7500  0.9176  11 Ni 2.50-2.63, 1 Ir 2.58
Ni  0.0621  0.7500  0.2477  7 Ni 2.54-2.58, 2 Ga 2.55, 3 Ir 2.57-2.61
Ni  0.0633  0.7500  0.9167  1 Ir 2.51, 3 Ga 2.51-2.54, 8 Ni 2.54-2.58
Ni  0.1866  0.2500  0.4148  6 Ni 2.55-2.62, 3 Ga 2.55-2.61, 3 Ir 2.57-2.59
Ni  0.1881  0.2500  0.7562  3 Ga 2.50-2.63, 7 Ni 2.55-2.62, 2 Ir 2.57
Ni  0.3119  0.7500  0.2562  3 Ga 2.50-2.63, 7 Ni 2.55-2.62, 2 Ir 2.57
Ni  0.3134  0.7500  0.9148  6 Ni 2.55-2.62, 3 Ga 2.55-2.61, 3 Ir 2.57-2.59
Ni  0.4367  0.2500  0.4167  1 Ir 2.51, 3 Ga 2.51-2.54, 8 Ni 2.54-2.58
Ni  0.4379  0.2500  0.7477  7 Ni 2.54-2.58, 2 Ga 2.55, 3 Ir 2.57-2.61
Ni  0.5621  0.7500  0.2523  7 Ni 2.54-2.58, 2 Ga 2.55, 3 Ir 2.57-2.61
Ni  0.5633  0.7500  0.5833  1 Ir 2.51, 3 Ga 2.51-2.54, 8 Ni 2.54-2.58
Ni  0.6866  0.2500  0.0852  6 Ni 2.55-2.62, 3 Ga 2.55-2.61, 3 Ir 2.57-2.59
Ni  0.6881  0.2500  0.7438  3 Ga 2.50-2.63, 7 Ni 2.55-2.62, 2 Ir 2.57
Ni  0.8119  0.7500  0.2438  3 Ga 2.50-2.63, 7 Ni 2.55-2.62, 2 Ir 2.57
Ni  0.8134  0.7500  0.5852  6 Ni 2.55-2.62, 3 Ga 2.55-2.61, 3 Ir 2.57-2.59
Ni  0.9367  0.2500  0.0833  1 Ir 2.51, 3 Ga 2.51-2.54, 8 Ni 2.54-2.58
Ni  0.9379  0.2500  0.7523  7 Ni 2.54-2.58, 2 Ga 2.55, 3 Ir 2.57-2.61
Ir  0.0645  0.7500  0.5888  9 Ni 2.51-2.61, 1 Ga 2.58, 2 Ir 2.64
Ir  0.4355  0.2500  0.0888  9 Ni 2.51-2.61, 1 Ga 2.58, 2 Ir 2.64
Ir  0.5645  0.7500  0.9112  9 Ni 2.51-2.61, 1 Ga 2.58, 2 Ir 2.64
Ir  0.9355  0.2500  0.4112  9 Ni 2.51-2.61, 1 Ga 2.58, 2 Ir 2.64


Computed, not measured: an optimized crystal structure of GaNiIr at the GGA-PBE level of DFT.

SG: No. 12
Magnetization, μB/atom: 0.000
Calculated total energy, eV/cell: -36.6
Theoretical density, g cm⁻³: 13.3
Crystal system: monoclinic
ΔH_f (0 K), eV per atom: -0.217

Lattice parameters (Å, degrees): 4.7324 4.7324 5.2912 110.24 110.24 46.76
Last column: nearest neighbours and their distance in Å.
Sites, in units of the cell vectors:
Ga  0.1648  0.1648  0.0938  4 Ir 2.56-2.66, 5 Ni 2.62-2.70, 3 Ga 2.65-2.79
Ga  0.8352  0.8352  0.9062  4 Ir 2.56-2.66, 5 Ni 2.62-2.70, 3 Ga 2.65-2.79
Ni  0.4990  0.4990  0.2463  2 Ni 2.61-2.68, 5 Ga 2.62-2.70, 5 Ir 2.65-2.72
Ni  0.5010  0.5010  0.7537  2 Ni 2.61-2.68, 5 Ga 2.62-2.70, 5 Ir 2.65-2.72
Ir  0.1650  0.1650  0.5973  4 Ga 2.56-2.66, 5 Ni 2.65-2.72, 3 Ir 2.66-2.81
Ir  0.8350  0.8350  0.4027  4 Ga 2.56-2.66, 5 Ni 2.65-2.72, 3 Ir 2.66-2.81


Computed, not measured: an optimized crystal structure of GaNiIr at the GGA-PBE level of DFT.

SG: No. 160
Magnetization, μB/atom: 0.000
Calculated total energy, eV/cell: -17.6
Theoretical density, g cm⁻³: 11.7
Crystal system: trigonal
ΔH_f (0 K), eV per atom: 0.021

Lattice parameters (Å, degrees): 4.0023 4.0023 4.0023 60.14 60.14 60.14
Last column: nearest neighbours and their distance in Å.
Sites, in units of the cell vectors:
Ga  0.0000  0.0000  0.0000  4 Ni 2.45, 4 Ir 2.45
Ni  0.2503  0.2503  0.2503  4 Ga 2.45
Ir  0.7495  0.7495  0.7495  4 Ga 2.45